Model w:
A plane-wave DFT calculation with PBE was carried out for a relaxed structure of Pa2SnPb.

a b c (Å): 4.547 4.823 4.823
angles (deg): 90.00 90.00 90.00
Fractional positions:
Pb 0.500 0.500 0.500
Pa 0.000 0.000 0.500
Pa 0.000 0.500 0.000
Sn 0.500 0.000 0.000

Computed properties:
Crystal system: tetragonal
Symmetry: P4/mmm (123)

***

Model x:
A plane-wave DFT calculation with PBE was carried out for a relaxed structure of Pa2SnPb.

a b c (Å): 5.351 5.351 5.351
angles (deg): 60.00 60.00 60.00
Fractional positions:
Pb 0.000 0.000 0.000
Pa 0.250 0.250 0.250
Pa 0.750 0.750 0.750
Sn 0.500 0.500 0.500

Computed properties:
Crystal system: cubic
Symmetry: Fm-3m (225)

***

Model y:
A plane-wave DFT calculation with PBE was carried out for a relaxed structure of Pa2SnPb.

a b c (Å): 3.411 3.411 9.084
angles (deg): 90.00 90.00 90.00
Fractional positions:
Pb 0.500 0.500 0.500
Pa 0.000 0.000 0.758
Pa 0.000 0.000 0.242
Sn 0.500 0.500 0.000

Computed properties:
Crystal system: tetragonal
Symmetry: P4/mmm (123)

***

Computed relative energies in units of meV per atom: model w 9; model x 96; model y 0